Model w:
A relaxed Rb2GaBi2 crystal. Source: the Alexandria database, functional PBE-GGA.

Lattice parameters (Å, degrees): 8.0425 8.0425 6.0956 90.00 90.00 90.00
Last column: nearest neighbours and their distance in Å.
Sites, in units of the cell vectors:
Ga (0.5000, 0.5000, 0.0000)  4 Bi 3.11
Ga (0.0000, 0.0000, 0.0000)  4 Bi 3.11
Bi (0.1403, 0.3597, 0.0000)  2 Ga 3.11, 1 Bi 3.19
Bi (0.8597, 0.6403, 0.0000)  2 Ga 3.11, 1 Bi 3.19
Bi (0.3597, 0.8597, 0.0000)  2 Ga 3.11, 1 Bi 3.19
Bi (0.6403, 0.1403, 0.0000)  2 Ga 3.11, 1 Bi 3.19
Rb (0.3321, 0.1679, 0.5000)  6 Bi 3.75-3.93, 1 Rb 3.82
Rb (0.1679, 0.6679, 0.5000)  6 Bi 3.75-3.93, 1 Rb 3.82
Rb (0.6679, 0.8321, 0.5000)  6 Bi 3.75-3.93, 1 Rb 3.82
Rb (0.8321, 0.3321, 0.5000)  6 Bi 3.75-3.93, 1 Rb 3.82

Calculated values
D(E_F): 4.130 states/eV/cell
crystal system: tetragonal
calculated density: 5.5 Mg/m³

***

Model x:
A relaxed Rb2GaBi2 crystal. Source: the Alexandria database, functional PBE-GGA.

Lattice parameters (Å, degrees): 4.6916 4.6916 21.7065 96.20 96.20 90.00
Last column: nearest neighbours and their distance in Å.
Sites, in units of the cell vectors:
Ga (0.5000, 0.5000, 0.0000)  4 Bi 2.85
Ga (0.7500, 0.2500, 0.5000)  4 Bi 2.85
Bi (0.7876, 0.7876, 0.5752)  2 Ga 2.85
Bi (0.4624, 0.9624, 0.9248)  2 Ga 2.85
Bi (0.0376, 0.5376, 0.0752)  2 Ga 2.85
Bi (0.2124, 0.2124, 0.4248)  2 Ga 2.85
Rb (0.5740, 0.0740, 0.1479)  4 Bi 3.67, 2 Ga 3.95
Rb (0.3240, 0.3240, 0.6479)  4 Bi 3.67, 2 Ga 3.95
Rb (0.9260, 0.4260, 0.8521)  4 Bi 3.67, 2 Ga 3.95
Rb (0.6760, 0.6760, 0.3521)  4 Bi 3.67, 2 Ga 3.95

Calculated values
D(E_F): 4.765 states/eV/cell
crystal system: tetragonal
calculated density: 4.6 Mg/m³

***

Model y:
A relaxed Rb2GaBi2 crystal. Source: the Alexandria database, functional PBE-GGA.

Lattice parameters (Å, degrees): 7.3507 7.8697 9.3442 114.90 113.16 90.00
Last column: nearest neighbours and their distance in Å.
Sites, in units of the cell vectors:
Rb (0.3594, 0.0412, 0.7188)  2 Ga 3.78, 6 Bi 3.87-3.98
Rb (0.6406, 0.9588, 0.2812)  2 Ga 3.78, 6 Bi 3.87-3.98
Rb (0.1406, 0.3224, 0.2812)  2 Ga 3.78, 6 Bi 3.87-3.98
Rb (0.8594, 0.6776, 0.7188)  2 Ga 3.78, 6 Bi 3.87-3.98
Bi (0.8962, 0.2134, 0.7923)  2 Ga 2.82
Bi (0.6038, 0.4211, 0.2077)  2 Ga 2.82
Bi (0.1038, 0.7866, 0.2077)  2 Ga 2.82
Bi (0.3962, 0.5789, 0.7923)  2 Ga 2.82
Ga (0.2500, 0.5000, 0.0000)  4 Bi 2.82
Ga (0.7500, 0.5000, 0.0000)  4 Bi 2.82

Calculated values
D(E_F): 10.433 states/eV/cell
crystal system: orthorhombic
calculated density: 5.0 Mg/m³

***

Which of them is the most stable, and which is the least stable? model y and model x, in that order.

***

Model w:
A relaxed RbGa3Bi crystal. Source: the Alexandria database, functional PBE-GGA.

Lattice parameters (Å, degrees): 5.8000 5.8000 5.8000 90.00 90.00 90.00
Last column: nearest neighbours and their distance in Å.
Sites, in units of the cell vectors:
Ga (0.0000, 0.5000, 0.0000)  2 Rb 2.90
Ga (0.0000, 0.0000, 0.5000)  2 Rb 2.90
Ga (0.5000, 0.0000, 0.0000)  2 Rb 2.90
Bi (0.5000, 0.5000, 0.5000)  12 Ga 4.10
Rb (0.0000, 0.0000, 0.0000)  6 Ga 2.90

Calculated values
D(E_F): 3.434 states/eV/cell
crystal system: cubic
calculated density: 4.3 Mg/m³

***

Model x:
A relaxed RbGa3Bi crystal. Source: the Alexandria database, functional PBE-GGA.

Lattice parameters (Å, degrees): 5.7830 5.7830 5.7830 90.00 90.00 90.00
Last column: nearest neighbours and their distance in Å.
Sites, in units of the cell vectors:
Ga (0.0000, 0.5000, 0.0000)  2 Bi 2.89
Ga (0.5000, 0.0000, 0.0000)  2 Bi 2.89
Ga (0.0000, 0.0000, 0.5000)  2 Bi 2.89
Rb (0.5000, 0.5000, 0.5000)  12 Ga 4.09
Bi (0.0000, 0.0000, 0.0000)  6 Ga 2.89

Calculated values
D(E_F): 3.508 states/eV/cell
crystal system: cubic
calculated density: 4.3 Mg/m³

***

Which of them is the most stable, and which is the least stable? model x and model w, in that order.

***

Model w:
A relaxed GaBi3Rh crystal. Source: the Alexandria database, functional PBE-GGA.

Lattice parameters (Å, degrees): 5.3338 5.3338 5.3338 90.00 90.00 90.00
Last column: nearest neighbours and their distance in Å.
Sites, in units of the cell vectors:
Bi (0.0000, 0.5000, 0.0000)  2 Ga 2.67
Bi (0.5000, 0.0000, 0.0000)  2 Ga 2.67
Bi (0.0000, 0.0000, 0.5000)  2 Ga 2.67
Ga (0.0000, 0.0000, 0.0000)  6 Bi 2.67
Rh (0.5000, 0.5000, 0.5000)  12 Bi 3.77

Calculated values
D(E_F): 4.492 states/eV/cell
crystal system: cubic
calculated density: 8.7 Mg/m³

***

Model x:
A relaxed GaBi3Rh crystal. Source: the Alexandria database, functional PBE-GGA.

Lattice parameters (Å, degrees): 5.3582 5.3582 5.3582 90.00 90.00 90.00
Last column: nearest neighbours and their distance in Å.
Sites, in units of the cell vectors:
Bi (0.0000, 0.5000, 0.0000)  2 Rh 2.68
Bi (0.5000, 0.0000, 0.0000)  2 Rh 2.68
Bi (0.0000, 0.0000, 0.5000)  2 Rh 2.68
Rh (0.0000, 0.0000, 0.0000)  6 Bi 2.68
Ga (0.5000, 0.5000, 0.5000)  12 Bi 3.79

Calculated values
D(E_F): 5.924 states/eV/cell
crystal system: cubic
calculated density: 8.6 Mg/m³

***

Which of them is the most stable, and which is the least stable? model x and model w, in that order.

***

Model w:
A relaxed GaBiRu3 crystal. Source: the Alexandria database, functional PBE-GGA.

Lattice parameters (Å, degrees): 4.5773 4.5773 4.5773 90.00 90.00 90.00
Last column: nearest neighbours and their distance in Å.
Sites, in units of the cell vectors:
Bi (0.5000, 0.5000, 0.5000)  12 Ru 3.24
Ru (0.5000, 0.0000, 0.0000)  2 Ga 2.29
Ru (0.0000, 0.0000, 0.5000)  2 Ga 2.29
Ru (0.0000, 0.5000, 0.0000)  2 Ga 2.29
Ga (0.0000, 0.0000, 0.0000)  6 Ru 2.29

Calculated values
D(E_F): 4.025 states/eV/cell
crystal system: cubic
calculated density: 10.1 Mg/m³

***

Model x:
A relaxed GaBiRu3 crystal. Source: the Alexandria database, functional PBE-GGA.

Lattice parameters (Å, degrees): 4.9454 4.9454 4.9454 90.00 90.00 90.00
Last column: nearest neighbours and their distance in Å.
Sites, in units of the cell vectors:
Ru (0.0000, 0.0000, 0.5000)  2 Bi 2.47
Ru (0.0000, 0.5000, 0.0000)  2 Bi 2.47
Ru (0.5000, 0.0000, 0.0000)  2 Bi 2.47
Bi (0.0000, 0.0000, 0.0000)  6 Ru 2.47
Ga (0.5000, 0.5000, 0.5000)  12 Ru 3.50

Calculated values
D(E_F): 9.165 states/eV/cell
crystal system: cubic
calculated density: 8.0 Mg/m³

***

Which of them is the most stable, and which is the least stable? model w and model x, in that order.

***

Model w:
A relaxed GaBi3Ru crystal. Source: the Alexandria database, functional PBE-GGA.

Lattice parameters (Å, degrees): 5.3057 5.3057 5.3057 90.00 90.00 90.00
Last column: nearest neighbours and their distance in Å.
Sites, in units of the cell vectors:
Ga (0.0000, 0.0000, 0.0000)  6 Bi 2.65
Bi (0.5000, 0.0000, 0.0000)  2 Ga 2.65
Bi (0.0000, 0.5000, 0.0000)  2 Ga 2.65
Bi (0.0000, 0.0000, 0.5000)  2 Ga 2.65
Ru (0.5000, 0.5000, 0.5000)  12 Bi 3.75

Calculated values
D(E_F): 7.639 states/eV/cell
crystal system: cubic
calculated density: 8.9 Mg/m³

***

Model x:
A relaxed GaBi3Ru crystal. Source: the Alexandria database, functional PBE-GGA.

Lattice parameters (Å, degrees): 5.3469 5.3469 5.3469 90.00 90.00 90.00
Last column: nearest neighbours and their distance in Å.
Sites, in units of the cell vectors:
Ga (0.5000, 0.5000, 0.5000)  12 Bi 3.78
Bi (0.5000, 0.0000, 0.0000)  2 Ru 2.67
Bi (0.0000, 0.0000, 0.5000)  2 Ru 2.67
Bi (0.0000, 0.5000, 0.0000)  2 Ru 2.67
Ru (0.0000, 0.0000, 0.0000)  6 Bi 2.67

Calculated values
D(E_F): 2.958 states/eV/cell
crystal system: cubic
calculated density: 8.7 Mg/m³

***

Which of them is the most stable, and which is the least stable? model x and model w, in that order.

***

Model w:
A relaxed GaBiS3 crystal. Source: the Alexandria database, functional PBE-GGA.

Lattice parameters (Å, degrees): 4.7169 4.7169 4.7169 90.00 90.00 90.00
Last column: nearest neighbours and their distance in Å.
Sites, in units of the cell vectors:
Bi (0.5000, 0.5000, 0.5000)  12 S 3.34
S (0.0000, 0.0000, 0.5000)  2 Ga 2.36
S (0.5000, 0.0000, 0.0000)  2 Ga 2.36
S (0.0000, 0.5000, 0.0000)  2 Ga 2.36
Ga (0.0000, 0.0000, 0.0000)  6 S 2.36

Calculated values
D(E_F): 2.626 states/eV/cell
crystal system: cubic
calculated density: 5.9 Mg/m³

***

Model x:
A relaxed GaBiS3 crystal. Source: the Alexandria database, functional PBE-GGA.

Lattice parameters (Å, degrees): 3.9148 6.3321 11.9212 105.40 90.00 90.00
Last column: nearest neighbours and their distance in Å.
Sites, in units of the cell vectors:
S (0.2500, 0.4217, 0.8377)  2 Ga 2.39
S (0.7500, 0.2861, 0.5734)  1 Ga 2.31
S (0.7500, 0.9031, 0.7926)  1 Ga 2.25
S (0.2500, 0.7127, 0.4266)  1 Ga 2.31
S (0.7500, 0.5840, 0.1623)  2 Ga 2.39
S (0.2500, 0.1105, 0.2074)  1 Ga 2.25
Ga (0.7500, 0.5348, 0.7540)  4 S 2.25-2.39
Ga (0.2500, 0.7807, 0.2460)  4 S 2.25-2.39
Bi (0.7500, 0.3814, 0.3381)  6 S 2.73-3.02
Bi (0.2500, 0.0433, 0.6619)  6 S 2.73-3.02

Calculated values
D(E_F): 0.000 states/eV/cell
crystal system: orthorhombic
calculated density: 4.4 Mg/m³

***

Which of them is the most stable, and which is the least stable? model x and model w, in that order.